[1]
# SmThMgRe PBE-GGA optimized geometry
# * total DFT energy (no corrections): -6.3954 eV/atom
# * total magnetic moment: 0.0 μB per cell
# * energy relative to the elements: 150 meV/atom
# * D(E_F): 18.047 states/eV/cell
data_SmThMgRe
_cell_length_a 7.302
_cell_length_b 7.302
_cell_length_c 7.302
_cell_angle_alpha 90.00
_cell_angle_beta 90.00
_cell_angle_gamma 90.00
_symmetry_space_group_name_H-M 'F -4 3 m'
_symmetry_Int_Tables_number 216
_symmetry_space_group_name_Hall 'F -4 2 3'
loop_
_atom_site_label
_atom_site_type_symbol
_atom_site_fract_x
_atom_site_fract_y
_atom_site_fract_z
_atom_site_occupancy
Sm1 Sm 0.000 0.000 0.000 1
Th1 Th 0.000 0.000 0.500 1
Mg1 Mg 0.250 0.250 0.250 1
Re1 Re 0.250 0.250 0.750 1



[2]
# Mg2Re2Sn PBE-GGA optimized geometry
# * total DFT energy (no corrections): -5.9863 eV/atom
# * total magnetic moment: 0.0 μB per cell
# * energy relative to the elements: 431 meV/atom
# * D(E_F): 5.145 states/eV/cell
# * excess energy over the best structure of this formula in the dataset: 0.000 eV/atom
data_Mg2Re2Sn
_cell_length_a 3.514
_cell_length_b 3.514
_cell_length_c 17.818
_cell_angle_alpha 90.00
_cell_angle_beta 90.00
_cell_angle_gamma 90.00
_symmetry_space_group_name_H-M 'I 4/m m m'
_symmetry_Int_Tables_number 139
_symmetry_space_group_name_Hall '-I 4 2'
loop_
_atom_site_label
_atom_site_type_symbol
_atom_site_fract_x
_atom_site_fract_y
_atom_site_fract_z
_atom_site_occupancy
Mg1 Mg 0.000 0.000 0.117 1
Re1 Re 0.000 0.500 0.250 1
Sn1 Sn 0.000 0.000 0.500 1



[3]
# Mg2Re2Sn PBE-GGA optimized geometry
# * total DFT energy (no corrections): -5.5767 eV/atom
# * total magnetic moment: 0.0 μB per cell
# * energy relative to the elements: 841 meV/atom
# * D(E_F): 2.334 states/eV/cell
# * excess energy over the best structure of this formula in the dataset: 0.410 eV/atom
data_Mg2Re2Sn
_cell_length_a 6.928
_cell_length_b 6.928
_cell_length_c 3.505
_cell_angle_alpha 90.00
_cell_angle_beta 90.00
_cell_angle_gamma 90.00
_symmetry_space_group_name_H-M 'P 4/m b m'
_symmetry_Int_Tables_number 127
_symmetry_space_group_name_Hall '-P 4 2ab'
loop_
_atom_site_label
_atom_site_type_symbol
_atom_site_fract_x
_atom_site_fract_y
_atom_site_fract_z
_atom_site_occupancy
Mg1 Mg 0.126 0.374 0.000 1
Re1 Re 0.174 0.674 0.500 1
Sn1 Sn 0.000 0.000 0.000 1



[4]
# Mg2ReSn2 PBE-GGA optimized geometry
# * total DFT energy (no corrections): -4.4074 eV/atom
# * total magnetic moment: 0.0 μB per cell
# * energy relative to the elements: 321 meV/atom
# * D(E_F): 8.506 states/eV/cell
data_Mg2ReSn2
_cell_length_a 7.136
_cell_length_b 7.136
_cell_length_c 4.157
_cell_angle_alpha 90.00
_cell_angle_beta 90.00
_cell_angle_gamma 90.00
_symmetry_space_group_name_H-M 'P 4/m b m'
_symmetry_Int_Tables_number 127
_symmetry_space_group_name_Hall '-P 4 2ab'
loop_
_atom_site_label
_atom_site_type_symbol
_atom_site_fract_x
_atom_site_fract_y
_atom_site_fract_z
_atom_site_occupancy
Mg1 Mg 0.167 0.333 0.000 1
Re1 Re 0.000 0.000 0.500 1
Sn1 Sn 0.145 0.645 0.500 1



[5]
# Mg2ReSn PBE-GGA optimized geometry
# * total DFT energy (no corrections): -4.2125 eV/atom
# * total magnetic moment: 2.6 μB per cell
# * energy relative to the elements: 698 meV/atom
# * D(E_F): 11.866 states/eV/cell
data_Mg2ReSn
_cell_length_a 7.936
_cell_length_b 7.936
_cell_length_c 5.418
_cell_angle_alpha 90.00
_cell_angle_beta 90.00
_cell_angle_gamma 90.00
_symmetry_space_group_name_H-M 'I -4 2 d'
_symmetry_Int_Tables_number 122
_symmetry_space_group_name_Hall 'I -4 2bw'
loop_
_atom_site_label
_atom_site_type_symbol
_atom_site_fract_x
_atom_site_fract_y
_atom_site_fract_z
_atom_site_occupancy
Mg1 Mg 0.212 0.250 0.125 1
Re1 Re 0.000 0.000 0.000 1
Sn1 Sn 0.000 0.000 0.500 1



[6]
# MgRe3Sn PBE-GGA optimized geometry
# * total DFT energy (no corrections): -6.0659 eV/atom
# * total magnetic moment: 1.0 μB per cell
# * energy relative to the elements: 2522 meV/atom
# * D(E_F): 7.270 states/eV/cell
data_MgRe3Sn
_cell_length_a 4.871
_cell_length_b 4.871
_cell_length_c 4.871
_cell_angle_alpha 90.00
_cell_angle_beta 90.00
_cell_angle_gamma 90.00
_symmetry_space_group_name_H-M 'P m -3 m'
_symmetry_Int_Tables_number 221
_symmetry_space_group_name_Hall '-P 4 2 3'
loop_
_atom_site_label
_atom_site_type_symbol
_atom_site_fract_x
_atom_site_fract_y
_atom_site_fract_z
_atom_site_occupancy
Mg1 Mg 0.000 0.000 0.000 1
Re1 Re 0.000 0.500 0.500 1
Sn1 Sn 0.500 0.500 0.500 1



[7]
# Mg2ReSn PBE-GGA optimized geometry
# * total DFT energy (no corrections): -4.2688 eV/atom
# * total magnetic moment: 0.0 μB per cell
# * energy relative to the elements: 641 meV/atom
# * D(E_F): 4.138 states/eV/cell
data_Mg2ReSn
_cell_length_a 2.9330
_cell_length_b 2.9330
_cell_length_c 33.0098
_cell_angle_alpha 90.00
_cell_angle_beta 90.00
_cell_angle_gamma 120.00
_symmetry_space_group_name_H-M 'R -3 m'
_symmetry_Int_Tables_number 166
_symmetry_space_group_name_Hall '-R 3 2"'
loop_
_atom_site_label
_atom_site_type_symbol
_atom_site_fract_x
_atom_site_fract_y
_atom_site_fract_z
_atom_site_occupancy
Mg1 Mg 0.0000 0.0000 0.0815 1
Re1 Re 0.0000 0.0000 0.0000 1
Sn1 Sn 0.0000 0.0000 0.5000 1



[8]
# Mg2ReSnW PBE-GGA optimized geometry
# * total DFT energy (no corrections): -5.3764 eV/atom
# * total magnetic moment: 1.1 μB per cell
# * energy relative to the elements: 1142 meV/atom
# * D(E_F): 4.729 states/eV/cell
data_Mg2ReSnW
_cell_length_a 5.078
_cell_length_b 5.078
_cell_length_c 4.783
_cell_angle_alpha 90.00
_cell_angle_beta 90.00
_cell_angle_gamma 90.00
_symmetry_space_group_name_H-M 'P 4/m m m'
_symmetry_Int_Tables_number 123
_symmetry_space_group_name_Hall '-P 4 2'
loop_
_atom_site_label
_atom_site_type_symbol
_atom_site_fract_x
_atom_site_fract_y
_atom_site_fract_z
_atom_site_occupancy
Mg1 Mg 0.000 0.500 0.000 1
Re1 Re 0.000 0.000 0.000 1
Sn1 Sn 0.500 0.500 0.500 1
W1 W 0.000 0.000 0.500 1



[9]
# Sr4MgRe PBE-GGA optimized geometry
# * total DFT energy (no corrections): -2.2103 eV/atom
# * total magnetic moment: 9.6 μB per cell
# * energy relative to the elements: 1251 meV/atom
# * D(E_F): 41.051 states/eV/cell
data_Sr4MgRe
_cell_length_a 9.662
_cell_length_b 9.662
_cell_length_c 9.662
_cell_angle_alpha 90.00
_cell_angle_beta 90.00
_cell_angle_gamma 90.00
_symmetry_space_group_name_H-M 'F -4 3 m'
_symmetry_Int_Tables_number 216
_symmetry_space_group_name_Hall 'F -4 2 3'
loop_
_atom_site_label
_atom_site_type_symbol
_atom_site_fract_x
_atom_site_fract_y
_atom_site_fract_z
_atom_site_occupancy
Sr1 Sr 0.124 0.124 0.376 1
Mg1 Mg 0.000 0.000 0.000 1
Re1 Re 0.250 0.250 0.750 1



[10]
# Sr2Mg2Re PBE-GGA optimized geometry
# * total DFT energy (no corrections): -2.7554 eV/atom
# * total magnetic moment: 4.2 μB per cell
# * energy relative to the elements: 1045 meV/atom
# * D(E_F): 9.608 states/eV/cell
# * excess energy over the best structure of this formula in the dataset: 0.212 eV/atom
data_Sr2Mg2Re
_cell_length_a 7.933
_cell_length_b 7.933
_cell_length_c 5.165
_cell_angle_alpha 90.00
_cell_angle_beta 90.00
_cell_angle_gamma 90.00
_symmetry_space_group_name_H-M 'P 4/m b m'
_symmetry_Int_Tables_number 127
_symmetry_space_group_name_Hall '-P 4 2ab'
loop_
_atom_site_label
_atom_site_type_symbol
_atom_site_fract_x
_atom_site_fract_y
_atom_site_fract_z
_atom_site_occupancy
Sr1 Sr 0.159 0.341 0.000 1
Mg1 Mg 0.153 0.653 0.500 1
Re1 Re 0.000 0.000 0.000 1



[11]
# Sr2MgRe PBE-GGA optimized geometry
# * total DFT energy (no corrections): -3.4151 eV/atom
# * total magnetic moment: 3.7 μB per cell
# * energy relative to the elements: 936 meV/atom
# * D(E_F): 11.955 states/eV/cell
# * excess energy over the best structure of this formula in the dataset: 0.282 eV/atom
data_Sr2MgRe
_cell_length_a 3.4752
_cell_length_b 3.4752
_cell_length_c 33.1717
_cell_angle_alpha 90.00
_cell_angle_beta 90.00
_cell_angle_gamma 120.00
_symmetry_space_group_name_H-M 'R 3 m'
_symmetry_Int_Tables_number 160
_symmetry_space_group_name_Hall 'R 3 -2"'
loop_
_atom_site_label
_atom_site_type_symbol
_atom_site_fract_x
_atom_site_fract_y
_atom_site_fract_z
_atom_site_occupancy
Sr1 Sr 0.0000 0.0000 0.0000 1
Sr2 Sr 0.0000 0.0000 0.2209 1
Mg1 Mg 0.0000 0.0000 0.7569 1
Re1 Re 0.0000 0.0000 0.4832 1



[12]
# Sr2MgRe PBE-GGA optimized geometry
# * total DFT energy (no corrections): -3.4994 eV/atom
# * total magnetic moment: 4.7 μB per cell
# * energy relative to the elements: 852 meV/atom
# * D(E_F): 78.612 states/eV/cell
# * excess energy over the best structure of this formula in the dataset: 0.197 eV/atom
data_Sr2MgRe
_cell_length_a 7.699
_cell_length_b 7.699
_cell_length_c 7.699
_cell_angle_alpha 90.00
_cell_angle_beta 90.00
_cell_angle_gamma 90.00
_symmetry_space_group_name_H-M 'F m -3 m'
_symmetry_Int_Tables_number 225
_symmetry_space_group_name_Hall '-F 4 2 3'
loop_
_atom_site_label
_atom_site_type_symbol
_atom_site_fract_x
_atom_site_fract_y
_atom_site_fract_z
_atom_site_occupancy
Sr1 Sr 0.250 0.250 0.250 1
Mg1 Mg 0.000 0.000 0.000 1
Re1 Re 0.000 0.000 0.500 1



- What is the formula in the fifth record?
  Mg2ReSn



- Among the records above, which one has the highest energy relative to the elements?
  MgRe3Sn



- Among the records above, which one has the lowest total DFT energy (no corrections)?
  SmThMgRe



- Which formula does entry 3 have?
  Mg2Re2Sn